Here is an optimized crystal structure of Tl2ZnCl from Alexandria. Energies are from PBE-GGA.

Cell lengths 9.120, 9.120, 9.120 Å; angles 24.63, 24.63, 24.63 degrees
Sites, in units of the cell vectors:
1 Tl 0.250 0.250 0.250
2 Tl 0.750 0.750 0.750
3 Zn 0.500 0.500 0.500
4 Cl 0.000 0.000 0.000

Results
The energy relative to the lowest polymorph listed for this composition is 0.0460 eV/atom. The raw formation energy is -26 kJ per mole of atoms. Its space group is No. 166.